This record from Alexandria via LeMat-Bulk describes a geometry-optimized PmPuI2 structure. The functional is PBE.

Cell: 3.8811 3.8811 11.2543 Å, 80.07 80.07 60.00°
Site moments in Bohr magnetons follow the coordinates.
Element x y z (fractional)
Pu: 0.0000 0.0000 0.0000  5.95
I: 0.9020 0.9020 0.2939  -0.01
I: 0.0980 0.0980 0.7061  -0.01
Pm: 0.5000 0.5000 0.5000  0.06

Computed properties:
symmetry	No. 166
raw formation energy	-225	kJ/mol of formula units
magnetization	1.73	μB per atom